#P
Entry from Alexandria via LeMat-Bulk: a relaxed structure of CrAs2BrF (PBE+U).

a b c (Å): 4.3105 4.3105 5.8797
angles (deg): 90.00 90.00 90.00
Space group P4/mmm (No. 123)
Inequivalent atoms, fractional coordinates:
Cr: 0.0000 0.0000 0.0000
As: 0.0000 0.5000 0.5000
Br: 0.5000 0.5000 0.0000
F: 0.5000 0.5000 0.5000



#Q
Entry from Alexandria via LeMat-Bulk: a relaxed structure of CrAs2BrF (PBE+U).

a b c (Å): 4.8156 4.8156 4.9706
angles (deg): 90.00 90.00 90.00
Space group P4/mmm (No. 123)
Inequivalent atoms, fractional coordinates:
Cr: 0.0000 0.0000 0.0000
As: 0.0000 0.5000 0.0000
Br: 0.0000 0.0000 0.5000
F: 0.5000 0.5000 0.5000



Least stable structure: #Q